1.
This record from the Alexandria database describes an optimized crystal structure of YMg2SbC. The functional is GGA-PBE.

The space group is P4/mmm (No. 123) and the conventional cell measures 4.4696, 4.4696 and 4.9657 Å, with angles of 90.00, 90.00 and 90.00 degrees. The inequivalent atoms are Y at (0.0000, 0.0000, 0.0000), Mg at (0.0000, 0.5000, 0.5000), Sb at (0.5000, 0.5000, 0.0000) and C at (0.0000, 0.0000, 0.5000).

The density of states at the Fermi level comes out at 0.08 states/eV/atom. The value obtained for the energy is -4.995 eV/atom. The uncorrected formation energy is -0.395 eV per atom.

---

2.
This record from the Alexandria database describes an optimized crystal structure of SrZrIr3. The functional is GGA-PBE.

The space group is Pm-3m (No. 221) and the conventional cell measures 4.8563, 4.8563 and 4.8563 Å, with angles of 90.00, 90.00 and 90.00 degrees. The inequivalent atoms are Sr at (0.0000, 0.0000, 0.0000), Zr at (0.5000, 0.5000, 0.5000) and Ir at (0.0000, 0.0000, 0.5000).

The density of states at the Fermi level comes out at 1.64 states/eV/atom. The value obtained for the energy above the most stable polymorph in this dataset is 1455 meV per atom. The value obtained for the energy is -5.259 eV/atom. For the formation energy, the calculation gives 2103 meV per atom.

---

3.
This record from the Alexandria database describes an optimized crystal structure of Pm2Nd4Th. The functional is GGA-PBE.

The space group is R-3m (No. 166, hexagonal axes) and the conventional cell measures 3.6251, 3.6251 and 64.8971 Å, with angles of 90.00, 90.00 and 120.00 degrees. The inequivalent atoms are Pm at (0.0000, 0.0000, 0.2358), Nd at (0.0000, 0.0000, 0.1422), Nd at (0.0000, 0.0000, 0.2896) and Th at (0.0000, 0.0000, 0.0000).

The density of states at the Fermi level comes out at 1.35 states/eV/atom. The value obtained for the energy above the most stable polymorph in this dataset is 0 meV per atom. The value obtained for the energy is -5.061 eV/atom. For the formation energy, the calculation gives 80 meV per atom.

---

4.
This record from the Alexandria database describes an optimized crystal structure of Rb2LaBr6F. The functional is GGA-PBE.

The space group is I4/mmm (No. 139) and the conventional cell measures 8.7810, 8.7810 and 10.1338 Å, with angles of 90.00, 90.00 and 90.00 degrees. The inequivalent atoms are Rb at (0.0000, 0.5000, 0.2500), La at (0.0000, 0.0000, 0.0000), Br at (0.0000, 0.0000, 0.2926), Br at (0.2328, 0.2328, 0.0000) and F at (0.0000, 0.0000, 0.5000).

The density of states at the Fermi level comes out at 0.00 states/eV/atom. The value obtained for the energy is -3.317 eV/atom. The uncorrected formation energy is -1.440 eV per atom.

---

5.
This record from the Alexandria database describes an optimized crystal structure of RbLa2Sc. The functional is GGA-PBE.

The space group is I-42d (No. 122) and the conventional cell measures 9.2894, 9.2894 and 7.0216 Å, with angles of 90.00, 90.00 and 90.00 degrees. The inequivalent atoms are Rb at (0.0000, 0.0000, 0.0000), La at (0.2355, 0.2500, 0.6250) and Sc at (0.0000, 0.0000, 0.5000).

The density of states at the Fermi level comes out at 2.01 states/eV/atom. The value obtained for the energy above the most stable polymorph in this dataset is 485 meV per atom. The value obtained for the energy is -3.529 eV/atom. For the formation energy, the calculation gives 760 meV per atom.

---

6.
This record from the Alexandria database describes an optimized crystal structure of Na3PaSn2S6. The functional is GGA-PBE.

The space group is C2/m (No. 12) and the conventional cell measures 7.1752, 12.4387 and 6.9553 Å, with angles of 90.00, 110.32 and 90.00 degrees. The inequivalent atoms are Na at (0.0000, 0.0000, 0.0000), Na at (0.0000, 0.3273, 0.0000), Pa at (0.0000, 0.5000, 0.5000), Sn at (0.0000, 0.1654, 0.5000), S at (0.2314, 0.3456, 0.7299) and S at (0.2330, 0.5000, 0.2744).

The value obtained for the energy is -4.975 eV/atom. The uncorrected formation energy is -1.123 eV per atom.